No. 1
Entry from Alexandria via LeMat-Bulk: a relaxed AgBiS2 crystal (PBE-GGA).

Geometry as POSCAR:
```
AgBiS2
1.0
2.424 0.000 7.672
-1.212 2.099 7.672
-1.212 -2.099 7.672
Bi S Ag
1 2 1
direct
0.500 0.500 0.500
0.102 0.102 0.102
0.898 0.898 0.898
0.000 0.000 0.000
```

- uncorrected energy (Ry per atom) = -0.2916
- space group = No. 166
- uncorrected formation energy (eV per formula unit) = -0.882



No. 2
Entry from Alexandria via LeMat-Bulk: a relaxed Ag3Bi8S13 crystal (PBE-GGA).

Geometry as POSCAR:
```
Ag3Bi8S13
1.0
-1.565 6.701 -0.924
-3.782 5.336 2.330
15.674 6.705 13.491
S Ag Bi
13 3 8
direct
0.337 0.337 0.266
0.391 0.391 0.813
0.775 0.775 0.423
0.225 0.225 0.577
0.356 0.356 0.973
0.061 0.061 0.343
0.898 0.898 0.103
0.644 0.644 0.027
0.500 0.500 0.500
0.663 0.663 0.734
0.939 0.939 0.657
0.102 0.102 0.897
0.609 0.609 0.187
0.000 0.000 0.000
0.580 0.580 0.625
0.420 0.420 0.375
0.694 0.694 0.297
0.306 0.306 0.703
0.971 0.971 0.215
0.860 0.860 0.541
0.743 0.743 0.919
0.029 0.029 0.785
0.257 0.257 0.081
0.140 0.140 0.459
```

- uncorrected energy (Ry per atom) = -0.3055
- space group = No. 12
- uncorrected formation energy (eV per formula unit) = -6.491



No. 3
Entry from Alexandria via LeMat-Bulk: a relaxed Ag3Bi7S12 crystal (PBE-GGA).

Geometry as POSCAR:
```
Ag3Bi7S12
1.0
7.088 0.019 -0.047
5.910 3.913 -0.047
3.998 1.209 19.980
S Bi Ag
12 7 3
direct
0.017 0.017 0.134
0.278 0.278 0.794
0.639 0.639 0.529
0.432 0.432 0.295
0.350 0.350 0.029
0.124 0.124 0.388
0.722 0.722 0.206
0.876 0.876 0.612
0.568 0.568 0.705
0.361 0.361 0.471
0.983 0.983 0.866
0.650 0.650 0.971
0.924 0.924 0.734
0.378 0.378 0.172
0.076 0.076 0.266
0.000 0.000 0.000
0.242 0.242 0.588
0.758 0.758 0.412
0.622 0.622 0.828
0.704 0.704 0.085
0.000 0.000 0.500
0.296 0.296 0.915
```

- uncorrected energy (Ry per atom) = -0.3062
- space group = No. 12
- uncorrected formation energy (eV per formula unit) = -6.405



No. 4
Entry from Alexandria via LeMat-Bulk: a relaxed AgBiS4 crystal (PBE-GGA).

Geometry as POSCAR:
```
AgBiS4
1.0
8.543 -0.654 -1.551
-4.262 6.296 -2.191
-1.163 -0.611 6.321
S Ag Bi
8 2 2
direct
0.300 0.925 0.102
0.990 0.679 0.408
0.418 0.229 0.408
0.198 0.323 0.898
0.582 0.771 0.592
0.010 0.321 0.592
0.700 0.075 0.898
0.802 0.677 0.102
0.855 0.605 0.710
0.145 0.395 0.290
0.607 0.857 0.213
0.393 0.143 0.787
```

- uncorrected energy (Ry per atom) = -0.2883
- space group = No. 15
- uncorrected formation energy (eV per formula unit) = -0.292